No. 1
DFT (PBE) results for Sc3NiPb after structural relaxation.

Cell: 4.884 4.884 4.884 Å, 90.00 90.00 90.00°
Positions (direct):
Sc 0.000 0.000 0.500
Sc 0.000 0.500 0.000
Sc 0.500 0.000 0.000
Ni 0.000 0.000 0.000
Pb 0.500 0.500 0.500

Values from the calculation:
The formation enthalpy at 0 K is -0.26 eV per atom. Its energy above the most stable polymorph in this dataset is 0.0 meV per atom. Its crystal system is cubic.



No. 2
DFT (PBE) results for TmMgIrRu after structural relaxation.

Cell: 4.598 4.598 4.598 Å, 60.00 60.00 60.00°
Positions (direct):
Tm 0.000 0.000 0.000
Mg 0.500 0.500 0.500
Ir 0.250 0.250 0.250
Ru 0.750 0.750 0.750

Values from the calculation:
The formation enthalpy at 0 K is -0.37 eV per atom. Its crystal system is cubic.



No. 3
DFT (PBE) results for SrThZn2 after structural relaxation.

Cell: 9.664 9.664 9.664 Å, 22.54 22.54 22.54°
Positions (direct):
Sr 0.000 0.000 0.000
Th 0.500 0.500 0.500
Zn 0.247 0.247 0.247
Zn 0.753 0.753 0.753

Values from the calculation:
The formation enthalpy at 0 K is 0.08 eV per atom. Its energy above the most stable polymorph in this dataset is 239.1 meV per atom. Its crystal system is trigonal.



No. 4
DFT (PBE) results for PAu3 after structural relaxation.

Cell: 8.743 8.743 8.743 Å, 152.64 152.64 39.08°
Positions (direct):
P 0.125 0.125 0.000
P 0.875 0.875 0.000
Au 0.000 0.500 0.500
Au 0.250 0.750 0.500
Au 0.375 0.375 0.000
Au 0.500 0.000 0.500
Au 0.625 0.625 0.000
Au 0.750 0.250 0.500

Values from the calculation:
The formation enthalpy at 0 K is 0.30 eV per atom. Its energy above the most stable polymorph in this dataset is 277.0 meV per atom. Its crystal system is tetragonal.



No. 5
DFT (PBE) results for Tb3YPb4 after structural relaxation.

Cell: 11.185 6.425 6.426 Å, 90.00 90.00 90.00°
Positions (direct):
Tb 0.000 0.000 0.000
Tb 0.250 0.249 0.250
Tb 0.250 0.751 0.750
Tb 0.500 0.000 0.500
Tb 0.750 0.249 0.250
Tb 0.750 0.751 0.750
Y 0.000 0.500 0.500
Y 0.500 0.500 0.000
Pb 0.000 0.000 0.500
Pb 0.000 0.500 0.000
Pb 0.250 0.251 0.750
Pb 0.250 0.749 0.250
Pb 0.500 0.000 0.000
Pb 0.500 0.500 0.500
Pb 0.750 0.251 0.750
Pb 0.750 0.749 0.250

Values from the calculation:
The formation enthalpy at 0 K is -0.46 eV per atom. Its crystal system is orthorhombic.



No. 6
DFT (PBE) results for La3TcH after structural relaxation.

Cell: 4.884 4.884 4.884 Å, 90.00 90.00 90.00°
Positions (direct):
La 0.000 0.000 0.500
La 0.000 0.500 0.000
La 0.500 0.000 0.000
Tc 0.500 0.500 0.500
H 0.000 0.000 0.000

Values from the calculation:
Its energy above the most stable polymorph in this dataset is 0.0 meV per atom. Its crystal system is cubic.



No. 7
DFT (PBE) results for AlZnPt2 after structural relaxation.

Cell: 3.361 3.361 5.418 Å, 90.00 90.00 90.00°
Positions (direct):
Al 0.000 0.000 0.000
Zn 0.500 0.500 0.707
Pt 0.000 0.000 0.521
Pt 0.500 0.500 0.190

Values from the calculation:
The formation enthalpy at 0 K is -0.60 eV per atom. Its crystal system is tetragonal.



No. 8
DFT (PBE) results for Eu2GePb after structural relaxation.

Cell: 11.248 11.248 11.248 Å, 19.11 19.11 19.11°
Positions (direct):
Eu 0.101 0.101 0.101
Eu 0.899 0.899 0.899
Ge 0.500 0.500 0.500
Pb 0.000 0.000 0.000

Values from the calculation:
The formation enthalpy at 0 K is -0.17 eV per atom. Its crystal system is trigonal.



No. 9
DFT (PBE) results for Cd2AsIr after structural relaxation.

Cell: 5.100 5.100 5.100 Å, 131.23 131.23 71.44°
Positions (direct):
Cd 0.000 0.000 0.000
Cd 0.750 0.250 0.500
As 0.500 0.500 0.000
Ir 0.250 0.750 0.500

Values from the calculation:
The formation enthalpy at 0 K is 0.23 eV per atom. Its crystal system is tetragonal.



No. 10
DFT (PBE) results for CaTb2I after structural relaxation.

Cell: 12.065 12.065 12.065 Å, 17.52 17.52 17.52°
Positions (direct):
Ca 0.000 0.000 0.000
Tb 0.097 0.097 0.097
Tb 0.903 0.903 0.903
I 0.500 0.500 0.500

Values from the calculation:
For the total energy, the calculation gives -13.16 eV/cell. Its crystal system is trigonal.



No. 11
DFT (PBE) results for Na2ScPb2 after structural relaxation.

Cell: 8.956 8.956 3.324 Å, 90.00 90.00 90.00°
Positions (direct):
Na 0.114 0.386 0.000
Na 0.386 0.886 0.000
Na 0.614 0.114 0.000
Na 0.886 0.614 0.000
Sc 0.000 0.000 0.000
Sc 0.500 0.500 0.000
Pb 0.186 0.686 0.500
Pb 0.314 0.186 0.500
Pb 0.686 0.814 0.500
Pb 0.814 0.314 0.500

Values from the calculation:
The formation enthalpy at 0 K is 0.00 eV per atom. Its energy above the most stable polymorph in this dataset is 32.2 meV per atom. Its crystal system is tetragonal.



No. 12
DFT (PBE) results for RbTlBi2Pd after structural relaxation.

Cell: 5.576 5.576 5.551 Å, 90.00 90.00 90.00°
Positions (direct):
Rb 0.000 0.000 0.000
Tl 0.500 0.500 0.000
Bi 0.000 0.500 0.500
Bi 0.500 0.000 0.500
Pd 0.500 0.500 0.500

Values from the calculation:
The formation enthalpy at 0 K is -0.06 eV per atom. Its crystal system is tetragonal.



No. 13
DFT (PBE) results for ZrSi2Hg after structural relaxation.

Cell: 3.610 3.661 5.961 Å, 90.00 90.00 90.00°
Positions (direct):
Zr 0.000 0.000 0.000
Si 0.500 0.500 0.202
Si 0.500 0.500 0.798
Hg 0.000 0.000 0.500

Values from the calculation:
Its energy above the most stable polymorph in this dataset is 30.4 meV per atom. Its crystal system is orthorhombic.



No. 14
DFT (PBE) results for AgSe5 after structural relaxation.

Cell: 7.136 7.136 3.590 Å, 90.00 90.00 120.00°
Positions (direct):
Ag 0.000 0.000 0.000
Se 0.000 0.500 0.500
Se 0.333 0.667 0.000
Se 0.500 0.000 0.500
Se 0.500 0.500 0.500
Se 0.667 0.333 0.000

Values from the calculation:
Its energy above the most stable polymorph in this dataset is 416.4 meV per atom. Its crystal system is hexagonal.



No. 15
DFT (PBE) results for Sc3Se after structural relaxation.

Cell: 5.980 5.980 5.980 Å, 147.12 129.55 61.54°
Positions (direct):
Sc 0.000 0.000 0.000
Sc 0.290 0.790 0.500
Sc 0.710 0.210 0.500
Se 0.500 0.500 0.000

Values from the calculation:
Its energy above the most stable polymorph in this dataset is 211.5 meV per atom. Its crystal system is orthorhombic.



No. 16
DFT (PBE) results for BiPtPb3 after structural relaxation.

Cell: 5.438 5.438 5.438 Å, 90.00 90.00 90.00°
Positions (direct):
Bi 0.000 0.000 0.000
Pt 0.500 0.500 0.500
Pb 0.000 0.500 0.500
Pb 0.500 0.000 0.500
Pb 0.500 0.500 0.000

Values from the calculation:
The formation enthalpy at 0 K is 0.07 eV per atom. Its energy above the most stable polymorph in this dataset is 221.7 meV per atom. Its crystal system is cubic.



No. 17
DFT (PBE) results for B2AsPdO after structural relaxation.

Cell: 3.958 3.958 4.813 Å, 90.00 90.00 90.00°
Positions (direct):
B 0.000 0.500 0.000
B 0.500 0.000 0.000
As 0.000 0.000 0.000
Pd 0.000 0.000 0.500
O 0.500 0.500 0.500

Values from the calculation:
For the total energy, the calculation gives -20.16 eV/cell. Its crystal system is tetragonal.



No. 18
DFT (PBE) results for Hf6Co2Pt after structural relaxation.

Cell: 7.627 7.627 7.627 Å, 113.78 112.28 102.57°
Positions (direct):
Hf 0.037 0.234 0.804
Hf 0.188 0.300 0.488
Hf 0.188 0.700 0.887
Hf 0.332 0.027 0.695
Hf 0.332 0.636 0.305
Hf 0.430 0.234 0.196
Hf 0.570 0.766 0.804
Hf 0.668 0.364 0.695
Hf 0.668 0.973 0.305
Hf 0.812 0.300 0.113
Hf 0.812 0.700 0.512
Hf 0.963 0.766 0.196
Co 0.131 0.631 0.500
Co 0.341 0.000 0.341
Co 0.659 0.000 0.659
Co 0.869 0.369 0.500
Pt 0.000 0.000 0.000
Pt 0.500 0.500 0.000

Values from the calculation:
The formation enthalpy at 0 K is -0.46 eV per atom. Its crystal system is orthorhombic.



No. 19
DFT (PBE) results for BaTe2Se after structural relaxation.

Cell: 7.088 7.072 4.640 Å, 71.06 70.68 38.26°
Positions (direct):
Ba 0.000 0.000 0.000
Te 0.000 0.500 0.500
Te 0.500 0.000 0.000
Se 0.500 0.500 0.500

Values from the calculation:
For the total energy, the calculation gives -14.98 eV/cell. Its crystal system is orthorhombic.